No. 1
VASP calculation (PBE-GGA) on a geometry-optimized NaS2ClO structure.

abc: 3.908 3.908 7.527
angles: 90.00 90.00 90.00
Site moments in Bohr magnetons follow the coordinates.
Sites, in units of the cell vectors:
Na (0.500, 0.500, 0.500)  0.00
S (0.000, 0.500, 0.000)  0.29
S (0.500, 0.000, 0.000)  0.29
O (0.000, 0.000, 0.000)  0.19
Cl (0.000, 0.000, 0.500)  0.02

Summary:
Its calculated total energy is -3.3815 eV/atom. The calculated density comes out at 2.0 Mg/m³. Its space-group type is P4/mmm, No. 123.

***

No. 2
VASP calculation (PBE-GGA) on a geometry-optimized Na5S3ClO12 structure.

abc: 10.063 10.063 6.695
angles: 90.00 90.00 120.00
Site moments in Bohr magnetons follow the coordinates.
Sites, in units of the cell vectors:
Na (0.333, 0.667, 0.990)  0.00
Na (0.667, 0.333, 0.010)  0.00
Na (0.667, 0.333, 0.490)  0.00
Na (0.333, 0.667, 0.510)  0.00
Na (0.245, 0.268, 0.250)  0.00
Na (0.755, 0.732, 0.750)  0.00
Na (0.732, 0.976, 0.250)  0.00
Na (0.268, 0.024, 0.750)  0.00
Na (0.024, 0.755, 0.250)  0.00
Na (0.976, 0.245, 0.750)  0.00
S (0.025, 0.407, 0.250)  -0.01
S (0.975, 0.593, 0.750)  -0.01
S (0.593, 0.619, 0.250)  -0.01
S (0.407, 0.381, 0.750)  -0.01
S (0.381, 0.975, 0.250)  -0.01
S (0.619, 0.025, 0.750)  -0.01
Cl (0.000, 0.000, 0.000)  0.19
Cl (0.000, 0.000, 0.500)  0.19
O (0.120, 0.579, 0.250)  0.17
O (0.880, 0.421, 0.750)  0.17
O (0.421, 0.541, 0.250)  0.17
O (0.579, 0.459, 0.750)  0.17
O (0.459, 0.880, 0.250)  0.17
O (0.541, 0.120, 0.750)  0.17
O (0.495, 0.140, 0.250)  0.04
O (0.505, 0.860, 0.750)  0.04
O (0.860, 0.355, 0.250)  0.04
O (0.140, 0.645, 0.750)  0.04
O (0.645, 0.505, 0.250)  0.04
O (0.355, 0.495, 0.750)  0.04
O (0.072, 0.351, 0.071)  0.15
O (0.928, 0.649, 0.929)  0.15
O (0.649, 0.720, 0.071)  0.15
O (0.928, 0.649, 0.571)  0.15
O (0.351, 0.280, 0.929)  0.15
O (0.072, 0.351, 0.429)  0.15
O (0.280, 0.928, 0.071)  0.15
O (0.351, 0.280, 0.571)  0.15
O (0.720, 0.072, 0.929)  0.15
O (0.649, 0.720, 0.429)  0.15
O (0.720, 0.072, 0.571)  0.15
O (0.280, 0.928, 0.429)  0.15

Summary:
Its calculated total energy is -5.3861 eV/atom. The calculated density comes out at 2.5 Mg/m³. Its space-group type is P6_3/m, No. 176.

***

No. 3
VASP calculation (PBE-GGA) on a geometry-optimized NaS2ClO structure.

abc: 5.444 5.444 5.181
angles: 90.00 90.00 90.00
Site moments in Bohr magnetons follow the coordinates.
Sites, in units of the cell vectors:
Na (0.000, 0.000, 0.000)  0.00
S (0.000, 0.500, 0.000)  1.11
S (0.500, 0.000, 0.000)  1.11
O (0.500, 0.500, 0.500)  1.52
Cl (0.000, 0.000, 0.500)  0.32

Summary:
Its calculated total energy is -2.2299 eV/atom. The calculated density comes out at 1.5 Mg/m³. Its space-group type is P4/mmm, No. 123.

***

No. 4
VASP calculation (PBE-GGA) on a geometry-optimized Na2SnClO structure.

abc: 4.932 5.579 4.932
angles: 90.00 90.00 90.00
Sites, in units of the cell vectors:
Na (0.000, 0.000, 0.500)
Na (0.500, 0.000, 0.000)
Sn (0.000, 0.500, 0.000)
O (0.500, 0.500, 0.500)
Cl (0.000, 0.000, 0.000)

Summary:
Its calculated total energy is -2.8255 eV/atom. The calculated density comes out at 2.6 Mg/m³. Its space-group type is P4/mmm, No. 123.

***

Which value of calculated total energy does entry 2 give? -5.3861 eV/atom

***

Which formula does entry 4 have? Na2SnClO

***

The lowest calculated density belongs to which entry? number 3